The following is a PBE calculation of crystalline Fe4Co5Ni at its relaxed geometry, from the Alexandria database.

E_form   5.3 kcal/mol of atoms
Total magnetization   1.948 μB per atom

Cell: 7.215 7.938 4.219 Å, 90.00 90.00 90.00°
Atoms (fractional coordinates):
Fe 0.058 0.250 0.063
Fe 0.250 0.579 0.217
Fe 0.250 0.921 0.217
Fe 0.442 0.250 0.063
Fe 0.558 0.750 0.937
Fe 0.750 0.079 0.783
Fe 0.750 0.421 0.783
Fe 0.942 0.750 0.937
Co 0.079 0.011 0.731
Co 0.079 0.489 0.731
Co 0.250 0.750 0.701
Co 0.421 0.011 0.731
Co 0.421 0.489 0.731
Co 0.579 0.511 0.269
Co 0.579 0.989 0.269
Co 0.750 0.250 0.299
Co 0.921 0.511 0.269
Co 0.921 0.989 0.269
Ni 0.250 0.250 0.526
Ni 0.750 0.750 0.474